First-principles (GGA-PBE) data for TmAlZn3 after structural relaxation, as listed in Alexandria via LeMat-Bulk.

Geometry as extended XYZ:
```
10
Lattice="-3.6604 -4.0038 -1.3183 4.1835 -3.2384 -1.7809 0.2828 -2.4638 5.1447" Properties=species:S:1:pos:R:3 pbc="T T T"
Zn 1.3057 -8.6715 1.4241
Zn 2.7533 -4.3620 1.2769
Zn -1.9474 -5.3440 0.7687
Zn -0.4997 -1.0345 0.6214
Zn 1.5510 -2.6219 -0.2516
Zn -0.7451 -7.0841 2.2971
Al 1.7722 -6.3240 2.5398
Al -0.9662 -3.3819 -0.4943
Tm 0.8018 -5.9527 -0.4151
Tm 0.0042 -3.7533 2.4606
```

Summary:
- total moment (Bohr magnetons per cell) = 0.00
- space-group type = No. 11
- energy of formation from the pure elements (eV per atom) = -0.27
- E (eV per cell) = -26.759